Record 1
# UTc2Ag PBE optimized geometry
# Energy relative to the elements   100 meV/atom
data_UTc2Ag
_chemical_formula_sum 'U1 Tc2 Ag1'
_symmetry_space_group_name_H-M 'P 4/m m m'
_symmetry_Int_Tables_number 123
_symmetry_space_group_name_Hall '-P 4 2'
_cell_length_a 4.3304
_cell_length_b 4.3304
_cell_length_c 3.6357
_cell_angle_alpha 90.00
_cell_angle_beta 90.00
_cell_angle_gamma 90.00
loop_
_atom_site_label
_atom_site_fract_x
_atom_site_fract_y
_atom_site_fract_z
U1 0.0000 0.0000 0.0000
Tc1 0.0000 0.5000 0.5000
Ag1 0.5000 0.5000 0.0000


Record 2
# LiPtPb PBE optimized geometry
# Energy relative to the elements   -349 meV/atom
data_LiPtPb
_chemical_formula_sum 'Li4 Pt4 Pb4'
_symmetry_space_group_name_H-M 'F -4 3 m'
_symmetry_Int_Tables_number 216
_symmetry_space_group_name_Hall 'F -4 2 3'
_cell_length_a 6.3902
_cell_length_b 6.3902
_cell_length_c 6.3902
_cell_angle_alpha 90.00
_cell_angle_beta 90.00
_cell_angle_gamma 90.00
loop_
_atom_site_label
_atom_site_fract_x
_atom_site_fract_y
_atom_site_fract_z
Li1 0.0000 0.0000 0.0000
Pt1 0.2500 0.2500 0.2500
Pb1 0.0000 0.0000 0.5000